The following is a DFT calculation (PBE+U) of a relaxed MnNi2SbO6 crystal.

```
10
Lattice="5.111 0.000 0.000 2.475 4.566 0.000 0.024 2.849 4.663" Properties=species:S:1:pos:R:3 pbc="T T T"
Mn 0.000 0.000 0.000
Ni 2.514 4.420 2.837
Ni 5.061 2.973 0.552
Sb 5.046 5.975 2.375
O 0.833 1.264 1.373
O 1.734 2.727 3.725
O 3.272 3.009 1.482
O 4.351 4.597 3.677
O 6.068 4.549 1.386
O 6.621 5.982 3.735
```

Calculated values
* symmetry: P1
* DFT total energy: -59.7 eV/cell

The following is a DFT calculation (PBE+U) of a relaxed Sc2MnNiO6 crystal.

```
20
Lattice="5.049 0.000 0.000 0.000 5.381 0.000 -4.935 0.000 7.516" Properties=species:S:1:pos:R:3 pbc="T T T"
Sc -0.115 0.392 1.842
Sc -2.583 2.299 5.600
Sc 2.697 3.082 1.917
Sc 0.229 4.990 5.675
Mn 2.524 0.000 0.000
Mn 0.057 2.691 3.758
Ni -2.467 0.000 3.758
Ni 0.000 2.691 0.000
O -3.958 0.996 7.024
O -1.491 1.695 3.266
O -3.324 3.780 6.924
O -0.856 4.292 3.166
O -1.725 0.335 5.722
O 0.743 2.356 1.964
O -0.629 3.026 5.553
O 1.838 5.047 1.795
O 0.970 1.089 4.350
O 3.438 1.601 0.592
O 1.604 3.686 4.251
O 4.072 4.386 0.493
```

Calculated values
* N(E_F): 0.0 states/eV/f.u.
* symmetry: P2_1/c
* DFT total energy: -152.5 eV/cell

The following is a DFT calculation (PBE+U) of a relaxed MnNiSe2O8 crystal.

```
12
Lattice="5.423 0.000 0.000 -2.712 4.697 0.000 0.000 0.000 6.317" Properties=species:S:1:pos:R:3 pbc="T T T"
Mn 0.000 0.000 0.000
Ni 0.000 0.000 3.158
Se 0.000 3.131 1.252
Se 2.712 1.566 5.065
O 0.000 1.520 1.752
O -1.395 3.937 1.752
O 1.316 0.760 4.564
O 0.000 3.131 5.934
O 2.712 1.566 0.382
O 1.395 3.937 1.752
O 4.107 0.760 4.564
O 2.712 3.177 4.564
```

Calculated values
* N(E_F): 0.0 states/eV/f.u.
* symmetry: P-3m1
* DFT total energy: -66.7 eV/cell

The following is a DFT calculation (PBE+U) of a relaxed MnNiSe2O6 crystal.

```
10
Lattice="2.596 1.499 5.363 -2.596 1.499 5.363 0.000 -2.997 5.363" Properties=species:S:1:pos:R:3 pbc="T T T"
Mn 0.000 0.000 0.000
Ni 0.000 0.000 8.044
Se 0.000 0.000 4.553
Se 0.000 0.000 11.536
O -1.790 -0.082 6.829
O -0.824 -1.592 9.260
O 0.966 -1.509 6.829
O -0.966 1.509 9.260
O 0.824 1.592 6.829
O 1.790 0.082 9.260
```

Calculated values
* N(E_F): 0.0 states/eV/f.u.
* symmetry: R-3
* DFT total energy: -56.0 eV/cell

The following is a DFT calculation (PBE+U) of a relaxed MnNiSeO4 crystal.

```
14
Lattice="-2.813 3.245 4.889 2.813 -3.245 4.889 2.813 3.245 -4.889" Properties=species:S:1:pos:R:3 pbc="T T T"
Mn -1.406 1.622 2.445
Mn 1.406 1.622 2.445
Ni 0.000 0.000 0.000
Ni 0.000 3.245 0.000
Se 2.813 1.622 -1.057
Se 0.000 1.622 5.946
O 1.417 1.622 0.029
O 4.208 1.622 0.029
O 0.000 0.334 2.027
O 2.813 0.334 2.862
O 0.000 2.910 2.027
O 2.813 2.910 2.862
O -1.395 1.622 4.860
O 1.395 1.622 4.860
```

Calculated values
* N(E_F): 0.5 states/eV/f.u.
* symmetry: Imma
* DFT total energy: -80.5 eV/cell

The following is a DFT calculation (PBE+U) of a relaxed MnNi2SnO6 crystal.

```
10
Lattice="2.580 1.490 4.616 -2.580 1.490 4.616 0.000 -2.979 4.616" Properties=species:S:1:pos:R:3 pbc="T T T"
Mn 0.000 0.000 0.000
Ni 0.000 0.000 2.795
Ni 0.000 0.000 9.685
Sn 0.000 0.000 6.848
O -0.746 -1.664 5.917
O -1.612 -0.101 8.285
O -1.068 1.478 5.917
O 0.893 -1.346 8.285
O 1.814 0.186 5.917
O 0.719 1.447 8.285
```

Calculated values
* symmetry: R3
* DFT total energy: -59.4 eV/cell